Record 1
Here is a relaxed Hg2RhPbI crystal from the Alexandria database. Energies are from PBE.

Lattice parameters (Å, degrees): 5.3336 5.3336 5.3081 90.00 90.00 90.00
Space group P4/mmm (No. 123)
Symmetry-distinct sites (fractional):
Hg (0.0000, 0.5000, 0.0000) x2
Rh (0.0000, 0.0000, 0.0000) x1
Pb (0.0000, 0.0000, 0.5000) x1
I (0.5000, 0.5000, 0.5000) x1

## Properties
The calculation puts the uncorrected energy at -2.698 eV per atom.

***

Record 2
Here is a relaxed NiP3W crystal from the Alexandria database. Energies are from PBE.

Lattice parameters (Å, degrees): 4.2809 4.2809 4.2809 90.00 90.00 90.00
Space group Pm-3m (No. 221)
Symmetry-distinct sites (fractional):
Ni (0.0000, 0.0000, 0.0000) x1
P (0.0000, 0.0000, 0.5000) x3
W (0.5000, 0.5000, 0.5000) x1

## Properties
Its energy above the most stable polymorph in this dataset is 114 meV per atom. For the formation energy, the calculation gives 1.025 eV per atom. The calculation puts the uncorrected energy at -5.967 eV per atom.

***

Record 3
Here is a relaxed CdGaSb2Te crystal from the Alexandria database. Energies are from PBE.

Lattice parameters (Å, degrees): 5.3716 5.3716 5.4132 90.00 90.00 90.00
Space group P4/mmm (No. 123)
Symmetry-distinct sites (fractional):
Cd (0.0000, 0.0000, 0.0000) x1
Ga (0.5000, 0.5000, 0.5000) x1
Sb (0.0000, 0.5000, 0.5000) x2
Te (0.5000, 0.5000, 0.0000) x1

## Properties
Its energy above the most stable polymorph in this dataset is 0 meV per atom. The calculation puts the uncorrected energy at -2.571 eV per atom.

***

Record 4
Here is a relaxed SrY4As crystal from the Alexandria database. Energies are from PBE.

Lattice parameters (Å, degrees): 9.3501 9.3501 9.3501 90.00 90.00 90.00
Space group F-43m (No. 216)
Symmetry-distinct sites (fractional):
Sr (0.0000, 0.0000, 0.0000) x4
Y (0.1251, 0.1251, 0.6251) x16
As (0.2500, 0.2500, 0.2500) x4

## Properties
For the formation energy, the calculation gives 0.303 eV per atom. The calculation puts the uncorrected energy at -5.061 eV per atom.

***

Record 5
Here is a relaxed Li3Tl2Ag4 crystal from the Alexandria database. Energies are from PBE.

Lattice parameters (Å, degrees): 9.4116 4.8162 8.7110 90.00 122.42 90.00
Space group C2/m (No. 12)
Symmetry-distinct sites (fractional):
Li (0.0000, 0.0000, 0.0000) x2
Li (0.1597, 0.5000, 0.3268) x4
Tl (0.1847, 0.5000, 0.6763) x4
Ag (0.0014, 0.0000, 0.6739) x4
Ag (0.1565, 0.5000, 0.9991) x4

## Properties
Its energy above the most stable polymorph in this dataset is 9 meV per atom. For the formation energy, the calculation gives -0.122 eV per atom. The calculation puts the uncorrected energy at -2.553 eV per atom.

***

Record 6
Here is a relaxed PmMgZn11 crystal from the Alexandria database. Energies are from PBE.

Lattice parameters (Å, degrees): 5.3949 12.5855 6.8783 90.00 112.85 90.00
Space group C2/m (No. 12)
Symmetry-distinct sites (fractional):
Pm (0.0000, 0.0000, 0.0000) x2
Mg (0.0000, 0.0000, 0.5000) x2
Zn (0.0000, 0.5000, 0.5000) x2
Zn (0.1027, 0.3899, 0.2143) x8
Zn (0.1854, 0.1793, 0.3517) x8
Zn (0.2500, 0.2500, 0.0000) x4

## Properties
For the formation energy, the calculation gives -0.176 eV per atom. The calculation puts the uncorrected energy at -1.742 eV per atom.

***

Q: Among the records above, which one has the highest uncorrected energy?
A: PmMgZn11